Na2HfFeO4 | PBE with a Hubbard U | relaxed

## Properties
Space group: P2/m
D(E_F) (states/eV/cell): 0.00
Total magnetization (μB/atom): 0.50
Calculated density (Mg/m³): 5.9
E (eV per cell): -56.5

Structure (POSCAR):
```
Na2HfFeO4
1.0
5.5565 0.0000 0.0000
0.0000 3.1898 0.0000
-1.9626 0.0000 5.4713
Na Hf Fe O
2 1 1 4
Direct
0.0000 0.0000 0.0000
0.5000 0.5000 0.0000
0.0000 0.5000 0.5000
0.5000 0.0000 0.5000
0.2154 0.0000 0.7136
0.2532 0.5000 0.3030
0.7468 0.5000 0.6970
0.7846 0.0000 0.2864
```